Here is an optimized crystal structure of TiMnO2 from Alexandria via LeMat-Bulk. Energies are from PBE with a Hubbard U.

Properties
Offset from the most stable computed form = 44 meV/atom
Total DFT energy (no corrections) = -65.98 eV/cell

Unit cell a=5.152 b=2.867 c=6.296 alpha=90.00 beta=90.05 gamma=90.00
Site moments in Bohr magnetons follow the coordinates.
Atoms (fractional coordinates):
Ti1 0.569 0.000 0.944  -0.35
Ti2 0.069 0.000 0.188  -0.36
Mn1 0.549 0.500 0.404  4.25
Mn2 0.048 0.500 0.727  4.25
O1 0.644 0.500 0.721  0.01
O2 0.769 0.500 0.132  -0.01
O3 0.269 0.500 0.000  -0.01
O4 0.145 0.500 0.411  0.01